1.
Computed, not measured: a geometry-optimized ScAsAuS2 structure at the GGA-PBEsol level of DFT.

Computed properties:
- Formation energy from raw total energies: 0.151 eV/atom
- Total energy: -23.6 eV per cell
- M_tot: 0.001 μB per formula unit

Lattice parameters (Å, degrees): 4.7097 4.7097 5.1803 90.00 90.00 90.00
Space group P4/mmm (No. 123)
Asymmetric unit:
Sc 0.0000 0.0000 0.0000 (multiplicity 1)
As 0.5000 0.5000 0.5000 (multiplicity 1)
Au 0.0000 0.0000 0.5000 (multiplicity 1)
S 0.0000 0.5000 0.0000 (multiplicity 2)

2.
Computed, not measured: a geometry-optimized GdSi2Ag2 structure at the GGA-PBEsol level of DFT.

Computed properties:
- Formation energy from raw total energies: -0.492 eV/atom
- Total energy: -70.0 eV per cell
- M_tot: 7.000 μB per formula unit

Lattice parameters (Å, degrees): 4.1190 4.1190 10.5957 90.00 90.00 90.00
Space group I4/mmm (No. 139)
Asymmetric unit:
Gd 0.0000 0.0000 0.0000 (multiplicity 2)
Si 0.0000 0.0000 0.3920 (multiplicity 4)
Ag 0.0000 0.5000 0.2500 (multiplicity 4)

3.
Computed, not measured: a geometry-optimized BeAgMo2 structure at the GGA-PBEsol level of DFT.

Computed properties:
- E_form: 0.3245 eV per atom
- Total energy: -29.5 eV per cell
- M_tot: 0.000 μB per formula unit

Lattice parameters (Å, degrees): 3.5431 3.6733 4.3231 90.00 90.00 90.00
Space group Pmmm (No. 47)
Asymmetric unit:
Be 0.0000 0.0000 0.0000 (multiplicity 1)
Ag 0.5000 0.5000 0.0000 (multiplicity 1)
Mo 0.0000 0.5000 0.5000 (multiplicity 1)
Mo 0.5000 0.0000 0.5000 (multiplicity 1)